(1)
VASP calculation (PBE) on an optimized crystal structure of Nb2AgTe. Values from VASP.

Structure (Quantum ESPRESSO input):
```
&SYSTEM
  ibrav = 0, nat = 16, ntyp = 3
/
ATOMIC_SPECIES
Nb 92.91 Nb.upf
Ag 107.87 Ag.upf
Te 127.60 Te.upf
CELL_PARAMETERS angstrom
6.772 0.000 0.000
0.000 6.772 0.000
0.000 0.000 6.772
ATOMIC_POSITIONS crystal
Nb 0.000 0.000 0.000
Nb 0.000 0.500 0.500
Nb 0.250 0.250 0.250
Nb 0.250 0.750 0.750
Nb 0.500 0.000 0.500
Nb 0.500 0.500 0.000
Nb 0.750 0.250 0.750
Nb 0.750 0.750 0.250
Ag 0.250 0.250 0.750
Ag 0.250 0.750 0.250
Ag 0.750 0.250 0.250
Ag 0.750 0.750 0.750
Te 0.000 0.000 0.500
Te 0.000 0.500 0.000
Te 0.500 0.000 0.000
Te 0.500 0.500 0.500
```

Properties
**Volume**: 310.6 Å³/cell
**Energy**: -24.19 eV per formula unit
**Space-group type**: F-43m, No. 216

***

(2)
VASP calculation (PBE) on an optimized crystal structure of LiLaSiPt. Values from VASP.

Structure (Quantum ESPRESSO input):
```
&SYSTEM
  ibrav = 0, nat = 16, ntyp = 4
/
ATOMIC_SPECIES
Li 6.94 Li.upf
La 138.91 La.upf
Si 28.09 Si.upf
Pt 195.08 Pt.upf
CELL_PARAMETERS angstrom
6.894 0.000 0.000
0.000 6.894 0.000
0.000 0.000 6.894
ATOMIC_POSITIONS crystal
Li 0.000 0.000 0.000
Li 0.000 0.500 0.500
Li 0.500 0.000 0.500
Li 0.500 0.500 0.000
La 0.000 0.000 0.500
La 0.000 0.500 0.000
La 0.500 0.000 0.000
La 0.500 0.500 0.500
Si 0.250 0.250 0.750
Si 0.250 0.750 0.250
Si 0.750 0.250 0.250
Si 0.750 0.750 0.750
Pt 0.250 0.250 0.250
Pt 0.250 0.750 0.750
Pt 0.750 0.250 0.750
Pt 0.750 0.750 0.250
```

Properties
**Volume**: 327.6 Å³/cell
**Space-group type**: F-43m, No. 216
**ΔE to the lowest computed polymorph**: 194 meV/atom

***

(3)
VASP calculation (PBE) on an optimized crystal structure of LuTlHgS3. Values from VASP.

Structure (Quantum ESPRESSO input):
```
&SYSTEM
  ibrav = 0, nat = 24, ntyp = 4
/
ATOMIC_SPECIES
Lu 174.97 Lu.upf
Tl 204.38 Tl.upf
Hg 200.59 Hg.upf
S 32.06 S.upf
CELL_PARAMETERS angstrom
12.112 0.000 0.000
0.000 4.007 0.000
0.000 0.000 12.580
ATOMIC_POSITIONS crystal
Lu 0.042 0.250 0.155
Lu 0.458 0.750 0.655
Lu 0.542 0.250 0.345
Lu 0.958 0.750 0.845
Tl 0.141 0.250 0.530
Tl 0.359 0.750 0.030
Tl 0.641 0.250 0.970
Tl 0.859 0.750 0.470
Hg 0.247 0.750 0.320
Hg 0.253 0.250 0.820
Hg 0.747 0.750 0.180
Hg 0.753 0.250 0.680
S 0.039 0.750 0.301
S 0.086 0.250 0.935
S 0.242 0.750 0.672
S 0.258 0.250 0.172
S 0.414 0.750 0.435
S 0.461 0.250 0.801
S 0.539 0.750 0.199
S 0.586 0.250 0.565
S 0.742 0.750 0.828
S 0.758 0.250 0.328
S 0.914 0.750 0.065
S 0.961 0.250 0.699
```

Properties
**Volume**: 610.6 Å³/cell
**Space-group type**: Pnma, No. 62
**ΔE to the lowest computed polymorph**: 64 meV/atom

***

(4)
VASP calculation (PBE) on an optimized crystal structure of NaPrHo. Values from VASP.

Structure (Quantum ESPRESSO input):
```
&SYSTEM
  ibrav = 0, nat = 12, ntyp = 3
/
ATOMIC_SPECIES
Na 22.99 Na.upf
Pr 140.91 Pr.upf
Ho 164.93 Ho.upf
CELL_PARAMETERS angstrom
7.590 0.000 0.000
0.000 7.590 0.000
0.000 0.000 7.590
ATOMIC_POSITIONS crystal
Na 0.000 0.000 0.000
Na 0.000 0.500 0.500
Na 0.500 0.000 0.500
Na 0.500 0.500 0.000
Pr 0.250 0.250 0.250
Pr 0.250 0.750 0.750
Pr 0.750 0.250 0.750
Pr 0.750 0.750 0.250
Ho 0.250 0.250 0.750
Ho 0.250 0.750 0.250
Ho 0.750 0.250 0.250
Ho 0.750 0.750 0.750
```

Properties
**Volume**: 437.2 Å³/cell
**Space-group type**: F-43m, No. 216
**ΔE to the lowest computed polymorph**: 0 meV/atom

***

(5)
VASP calculation (PBE) on an optimized crystal structure of Ir3SeO5. Values from VASP.

Structure (Quantum ESPRESSO input):
```
&SYSTEM
  ibrav = 0, nat = 18, ntyp = 3
/
ATOMIC_SPECIES
Ir 192.22 Ir.upf
Se 78.96 Se.upf
O 16.00 O.upf
CELL_PARAMETERS angstrom
4.406 -4.744 0.000
4.406 4.744 0.000
0.000 0.000 5.560
ATOMIC_POSITIONS crystal
Ir 0.217 0.783 0.500
Ir 0.283 0.324 0.765
Ir 0.324 0.283 0.265
Ir 0.676 0.717 0.765
Ir 0.717 0.676 0.265
Ir 0.783 0.217 0.000
Se 0.318 0.682 0.902
Se 0.682 0.318 0.402
O 0.089 0.223 0.028
O 0.161 0.469 0.486
O 0.190 0.810 0.137
O 0.223 0.089 0.528
O 0.469 0.161 0.986
O 0.531 0.839 0.486
O 0.777 0.911 0.028
O 0.810 0.190 0.637
O 0.839 0.531 0.986
O 0.911 0.777 0.528
```

Properties
**Volume**: 232.4 Å³/cell
**Energy**: -57.12 eV per formula unit
**Space-group type**: Cmc2_1, No. 36

***

(6)
VASP calculation (PBE) on an optimized crystal structure of MgUIr. Values from VASP.

Structure (Quantum ESPRESSO input):
```
&SYSTEM
  ibrav = 0, nat = 12, ntyp = 3
/
ATOMIC_SPECIES
Mg 24.30 Mg.upf
U 238.03 U.upf
Ir 192.22 Ir.upf
CELL_PARAMETERS angstrom
6.580 0.000 0.000
0.000 6.580 0.000
0.000 0.000 6.580
ATOMIC_POSITIONS crystal
Mg 0.000 0.000 0.000
Mg 0.000 0.500 0.500
Mg 0.500 0.000 0.500
Mg 0.500 0.500 0.000
U 0.250 0.250 0.750
U 0.250 0.750 0.250
U 0.750 0.250 0.250
U 0.750 0.750 0.750
Ir 0.000 0.000 0.500
Ir 0.000 0.500 0.000
Ir 0.500 0.000 0.000
Ir 0.500 0.500 0.500
```

Properties
**Volume**: 284.9 Å³/cell
**Energy**: -19.64 eV per formula unit
**Space-group type**: F-43m, No. 216

***

(7)
VASP calculation (PBE) on an optimized crystal structure of NbHgGe. Values from VASP.

Structure (Quantum ESPRESSO input):
```
&SYSTEM
  ibrav = 0, nat = 12, ntyp = 3
/
ATOMIC_SPECIES
Nb 92.91 Nb.upf
Hg 200.59 Hg.upf
Ge 72.64 Ge.upf
CELL_PARAMETERS angstrom
6.279 0.000 0.000
0.000 6.279 0.000
0.000 0.000 6.279
ATOMIC_POSITIONS crystal
Nb 0.000 0.000 0.000
Nb 0.000 0.500 0.500
Nb 0.500 0.000 0.500
Nb 0.500 0.500 0.000
Hg 0.000 0.000 0.500
Hg 0.000 0.500 0.000
Hg 0.500 0.000 0.000
Hg 0.500 0.500 0.500
Ge 0.250 0.250 0.750
Ge 0.250 0.750 0.250
Ge 0.750 0.250 0.250
Ge 0.750 0.750 0.750
```

Properties
**Volume**: 247.5 Å³/cell
**Space-group type**: F-43m, No. 216
**ΔE to the lowest computed polymorph**: 0 meV/atom

***

(8)
VASP calculation (PBE) on an optimized crystal structure of Pr2Br3Cl3. Values from VASP.

Structure (Quantum ESPRESSO input):
```
&SYSTEM
  ibrav = 0, nat = 8, ntyp = 3
/
ATOMIC_SPECIES
Pr 140.91 Pr.upf
Br 79.90 Br.upf
Cl 35.45 Cl.upf
CELL_PARAMETERS angstrom
7.807 0.000 0.000
-3.904 6.761 0.000
0.000 0.000 4.346
ATOMIC_POSITIONS crystal
Pr 0.000 0.000 0.000
Pr 0.333 0.667 0.500
Br 0.036 0.420 0.000
Br 0.383 0.964 0.000
Br 0.580 0.617 0.000
Cl 0.258 0.245 0.500
Cl 0.755 0.013 0.500
Cl 0.987 0.742 0.500
```

Properties
**Volume**: 229.4 Å³/cell
**Space-group type**: P-6, No. 174
**ΔE to the lowest computed polymorph**: 0 meV/atom